Ba2PmAl2O7 | GGA-PBE | relaxed

Geometry as POSCAR:
```
Ba2PmAl2O7
1.0
-0.918 1.091 3.623
-3.763 -0.644 -0.760
-1.300 -9.664 4.670
Ba O Al Pm
2 7 2 1
Cartesian
-4.305 -3.127 4.033
-1.676 -6.091 3.500
-4.019 -5.851 4.925
-4.049 -1.745 1.590
-2.626 -0.877 3.782
-3.355 -8.341 3.751
-2.341 0.223 1.431
-1.932 -7.474 5.943
-1.963 -3.367 2.608
-2.154 -1.552 2.013
-3.828 -7.666 5.520
0.000 0.000 0.000
```

Output
raw formation energy = -33.87 eV per formula unit